# 1
An optimized crystal structure of NaSrOs2O8. Source: the Alexandria database, functional GGA-PBE.

```
data_NaSrOs2O8
_space_group_name_H-M_alt 'P 1'
_space_group_IT_number 1
_space_group_name_Hall 'P 1'
_cell_length_a 5.467
_cell_length_b 5.467
_cell_length_c 7.182
_cell_angle_alpha 112.37
_cell_angle_beta 112.37
_cell_angle_gamma 90.00
loop_
_atom_site_label
_atom_site_type_symbol
_atom_site_fract_x
_atom_site_fract_y
_atom_site_fract_z
O1 O 0.031 0.432 0.343
O2 O 0.664 0.282 0.845
O3 O 0.181 0.563 0.845
Sr1 Sr 0.000 0.000 0.000
O4 O 0.568 0.688 0.657
O5 O 0.437 0.336 0.155
O6 O 0.718 0.819 0.155
Na1 Na 0.750 0.250 0.500
Os1 Os 0.500 0.500 0.000
O7 O 0.312 0.911 0.343
Os2 Os 0.250 0.750 0.500
O8 O 0.089 0.969 0.657
```

Values from the calculation:
The density of states at the Fermi level is 5.72 states/eV/cell.


# 2
An optimized crystal structure of NaSr2Os3O12. Source: the Alexandria database, functional GGA-PBE.

```
data_NaSr2Os3O12
_space_group_name_H-M_alt 'P 1'
_space_group_IT_number 1
_space_group_name_Hall 'P 1'
_cell_length_a 6.791
_cell_length_b 6.791
_cell_length_c 6.791
_cell_angle_alpha 64.75
_cell_angle_beta 64.75
_cell_angle_gamma 64.75
loop_
_atom_site_label
_atom_site_type_symbol
_atom_site_fract_x
_atom_site_fract_y
_atom_site_fract_z
O1 O 0.866 0.279 0.279
O2 O 0.530 0.147 0.147
Sr1 Sr 0.608 0.608 0.608
Sr2 Sr 0.392 0.392 0.392
O3 O 0.853 0.853 0.470
O4 O 0.147 0.530 0.147
O5 O 0.470 0.853 0.853
O6 O 0.721 0.134 0.721
O7 O 0.853 0.470 0.853
O8 O 0.279 0.866 0.279
Os1 Os 0.500 0.000 0.000
O9 O 0.134 0.721 0.721
O10 O 0.279 0.279 0.866
Os2 Os 0.000 0.000 0.500
O11 O 0.721 0.721 0.134
O12 O 0.147 0.147 0.530
Na1 Na 0.000 0.000 0.000
Os3 Os 0.000 0.500 0.000
```

Values from the calculation:
The density of states at the Fermi level is 7.19 states/eV/cell.


# 3
An optimized crystal structure of Na2SrOsO4. Source: the Alexandria database, functional GGA-PBE.

```
data_Na2SrOsO4
_space_group_name_H-M_alt 'P 1'
_space_group_IT_number 1
_space_group_name_Hall 'P 1'
_cell_length_a 5.387
_cell_length_b 5.387
_cell_length_c 5.387
_cell_angle_alpha 101.55
_cell_angle_beta 113.57
_cell_angle_gamma 113.57
loop_
_atom_site_label
_atom_site_type_symbol
_atom_site_fract_x
_atom_site_fract_y
_atom_site_fract_z
Na1 Na 0.000 0.000 0.000
O1 O 0.043 0.739 0.286
Sr1 Sr 0.500 0.250 0.750
O2 O 0.454 0.714 0.757
O3 O 0.957 0.243 0.697
Os1 Os 0.000 0.500 0.500
Na2 Na 0.500 0.750 0.250
O4 O 0.546 0.303 0.261
```

Values from the calculation:
The density of states at the Fermi level is 4.20 states/eV/cell.


# 4
An optimized crystal structure of NaSr2OsO5. Source: the Alexandria database, functional GGA-PBE.

```
data_NaSr2OsO5
_space_group_name_H-M_alt 'P 1'
_space_group_IT_number 1
_space_group_name_Hall 'P 1'
_cell_length_a 3.810
_cell_length_b 6.114
_cell_length_c 6.863
_cell_angle_alpha 116.45
_cell_angle_beta 106.11
_cell_angle_gamma 90.00
loop_
_atom_site_label
_atom_site_type_symbol
_atom_site_fract_x
_atom_site_fract_y
_atom_site_fract_z
O1 O 0.373 0.648 0.747
Sr1 Sr 0.778 0.778 0.555
O2 O 0.627 0.352 0.253
Os1 Os 0.500 0.000 0.000
O3 O 0.000 0.000 0.000
O4 O 0.627 0.901 0.253
Na1 Na 0.000 0.500 0.000
O5 O 0.373 0.099 0.747
Sr2 Sr 0.222 0.222 0.445
```

Values from the calculation:
The density of states at the Fermi level is 1.42 states/eV/cell.


# 5
An optimized crystal structure of NaTaOsO6. Source: the Alexandria database, functional GGA-PBE.

```
data_NaTaOsO6
_space_group_name_H-M_alt 'P 1'
_space_group_IT_number 1
_space_group_name_Hall 'P 1'
_cell_length_a 4.877
_cell_length_b 4.877
_cell_length_c 9.325
_cell_angle_alpha 90.00
_cell_angle_beta 90.00
_cell_angle_gamma 90.00
loop_
_atom_site_label
_atom_site_type_symbol
_atom_site_fract_x
_atom_site_fract_y
_atom_site_fract_z
O1 O 0.285 0.285 0.697
O2 O 0.173 0.827 0.494
Ta1 Ta 0.000 0.000 0.671
O3 O 0.715 0.715 0.697
O4 O 0.776 0.224 0.807
O5 O 0.215 0.785 0.197
O6 O 0.785 0.215 0.197
O7 O 0.724 0.724 0.307
Na1 Na 0.500 0.500 0.503
O8 O 0.224 0.776 0.807
Os1 Os 0.500 0.500 0.830
O9 O 0.673 0.673 0.994
O10 O 0.827 0.173 0.494
O11 O 0.276 0.276 0.307
O12 O 0.327 0.327 0.994
Na2 Na 0.000 0.000 0.003
Os2 Os 0.000 0.000 0.330
Ta2 Ta 0.500 0.500 0.171
```

Values from the calculation:
The density of states at the Fermi level is 9.56 states/eV/cell.


# 6
An optimized crystal structure of Na2TbOsO6. Source: the Alexandria database, functional GGA-PBE.

```
data_Na2TbOsO6
_space_group_name_H-M_alt 'P 1'
_space_group_IT_number 1
_space_group_name_Hall 'P 1'
_cell_length_a 5.646
_cell_length_b 5.759
_cell_length_c 8.075
_cell_angle_alpha 90.00
_cell_angle_beta 90.31
_cell_angle_gamma 90.00
loop_
_atom_site_label
_atom_site_type_symbol
_atom_site_fract_x
_atom_site_fract_y
_atom_site_fract_z
O1 O 0.227 0.184 0.459
O2 O 0.084 0.475 0.773
O3 O 0.727 0.316 0.959
O4 O 0.679 0.272 0.547
Os1 Os 0.500 0.000 0.500
O5 O 0.273 0.684 0.041
O6 O 0.773 0.816 0.541
Na1 Na 0.992 0.036 0.749
Tb1 Tb 0.500 0.000 0.000
O7 O 0.821 0.772 0.953
Na2 Na 0.492 0.464 0.249
O8 O 0.179 0.228 0.047
Na3 Na 0.008 0.964 0.251
O9 O 0.584 0.025 0.273
O10 O 0.321 0.728 0.453
O11 O 0.916 0.525 0.227
Os2 Os 0.000 0.500 0.000
O12 O 0.416 0.975 0.727
Na4 Na 0.508 0.536 0.751
Tb2 Tb 0.000 0.500 0.500
```

Values from the calculation:
The density of states at the Fermi level is 8.13 states/eV/cell.


# 7
An optimized crystal structure of NaTbOs2O8. Source: the Alexandria database, functional GGA-PBE.

```
data_NaTbOs2O8
_space_group_name_H-M_alt 'P 1'
_space_group_IT_number 1
_space_group_name_Hall 'P 1'
_cell_length_a 5.267
_cell_length_b 5.267
_cell_length_c 6.848
_cell_angle_alpha 112.62
_cell_angle_beta 112.62
_cell_angle_gamma 90.00
loop_
_atom_site_label
_atom_site_type_symbol
_atom_site_fract_x
_atom_site_fract_y
_atom_site_fract_z
O1 O 0.012 0.418 0.326
O2 O 0.408 0.327 0.154
Os1 Os 0.250 0.750 0.500
O3 O 0.314 0.908 0.326
O4 O 0.173 0.592 0.846
O5 O 0.673 0.254 0.846
Na1 Na 0.750 0.250 0.500
Tb1 Tb 0.000 0.000 0.000
O6 O 0.582 0.686 0.674
Os2 Os 0.500 0.500 0.000
O7 O 0.092 0.988 0.674
O8 O 0.746 0.827 0.154
```

Values from the calculation:
The density of states at the Fermi level is 3.74 states/eV/cell.


# 8
An optimized crystal structure of NaTbOsO6. Source: the Alexandria database, functional GGA-PBE.

```
data_NaTbOsO6
_space_group_name_H-M_alt 'P 1'
_space_group_IT_number 1
_space_group_name_Hall 'P 1'
_cell_length_a 5.574
_cell_length_b 5.574
_cell_length_c 4.973
_cell_angle_alpha 90.00
_cell_angle_beta 90.00
_cell_angle_gamma 60.00
loop_
_atom_site_label
_atom_site_type_symbol
_atom_site_fract_x
_atom_site_fract_y
_atom_site_fract_z
O1 O 0.344 0.605 0.285
O2 O 0.605 0.051 0.285
O3 O 0.605 0.344 0.715
O4 O 0.051 0.344 0.285
Na1 Na 0.000 0.000 0.000
O5 O 0.051 0.605 0.715
Tb1 Tb 0.667 0.667 0.500
O6 O 0.344 0.051 0.715
Os1 Os 0.333 0.333 0.500
```


# 9
An optimized crystal structure of NaTcOsO6. Source: the Alexandria database, functional GGA-PBE.

```
data_NaTcOsO6
_space_group_name_H-M_alt 'P 1'
_space_group_IT_number 1
_space_group_name_Hall 'P 1'
_cell_length_a 5.020
_cell_length_b 5.330
_cell_length_c 5.330
_cell_angle_alpha 120.00
_cell_angle_beta 90.00
_cell_angle_gamma 90.00
loop_
_atom_site_label
_atom_site_type_symbol
_atom_site_fract_x
_atom_site_fract_y
_atom_site_fract_z
O1 O 0.296 0.721 0.052
Tc1 Tc 0.500 0.667 0.333
Na1 Na 0.000 0.333 0.667
O2 O 0.704 0.721 0.669
O3 O 0.296 0.948 0.669
Os1 Os 0.500 0.000 0.000
O4 O 0.704 0.331 0.052
O5 O 0.704 0.948 0.279
O6 O 0.296 0.331 0.279
```

Values from the calculation:
The density of states at the Fermi level is 5.85 states/eV/cell.


# 10
An optimized crystal structure of NaTe2OsO8. Source: the Alexandria database, functional GGA-PBE.

```
data_NaTe2OsO8
_space_group_name_H-M_alt 'P 1'
_space_group_IT_number 1
_space_group_name_Hall 'P 1'
_cell_length_a 5.521
_cell_length_b 4.912
_cell_length_c 6.930
_cell_angle_alpha 84.69
_cell_angle_beta 100.79
_cell_angle_gamma 92.15
loop_
_atom_site_label
_atom_site_type_symbol
_atom_site_fract_x
_atom_site_fract_y
_atom_site_fract_z
O1 O 0.827 0.152 0.153
O2 O 0.349 0.290 0.473
Te1 Te 0.572 0.480 0.742
O3 O 0.651 0.710 0.527
O4 O 0.270 0.266 0.060
O5 O 0.856 0.247 0.761
O6 O 0.730 0.734 0.940
O7 O 0.173 0.848 0.847
Os1 Os 0.000 0.000 0.000
Na1 Na 0.000 0.000 0.500
O8 O 0.144 0.753 0.239
Te2 Te 0.428 0.520 0.258
```

Values from the calculation:
The density of states at the Fermi level is 0.72 states/eV/cell.


# 11
An optimized crystal structure of Na2TeOsO6. Source: the Alexandria database, functional GGA-PBE.

```
data_Na2TeOsO6
_space_group_name_H-M_alt 'P 1'
_space_group_IT_number 1
_space_group_name_Hall 'P 1'
_cell_length_a 4.910
_cell_length_b 5.556
_cell_length_c 5.556
_cell_angle_alpha 90.00
_cell_angle_beta 90.00
_cell_angle_gamma 90.00
loop_
_atom_site_label
_atom_site_type_symbol
_atom_site_fract_x
_atom_site_fract_y
_atom_site_fract_z
O1 O 0.232 0.000 0.000
O2 O 0.703 0.268 0.268
Te1 Te 0.612 0.000 0.000
Na1 Na 0.999 0.000 0.500
Os1 Os 0.574 0.500 0.500
O3 O 0.703 0.732 0.732
O4 O 0.703 0.268 0.732
O5 O 0.703 0.732 0.268
O6 O 0.219 0.500 0.500
Na2 Na 0.999 0.500 0.000
```

Values from the calculation:
The density of states at the Fermi level is 4.06 states/eV/cell.


# 12
An optimized crystal structure of NaThOsO6. Source: the Alexandria database, functional GGA-PBE.

```
data_NaThOsO6
_space_group_name_H-M_alt 'P 1'
_space_group_IT_number 1
_space_group_name_Hall 'P 1'
_cell_length_a 5.086
_cell_length_b 5.086
_cell_length_c 10.141
_cell_angle_alpha 90.00
_cell_angle_beta 90.00
_cell_angle_gamma 90.00
loop_
_atom_site_label
_atom_site_type_symbol
_atom_site_fract_x
_atom_site_fract_y
_atom_site_fract_z
O1 O 0.178 0.822 0.474
Na1 Na 0.500 0.500 0.505
Th1 Th 0.500 0.500 0.166
O2 O 0.690 0.690 0.699
O3 O 0.241 0.759 0.825
O4 O 0.810 0.190 0.199
O5 O 0.759 0.241 0.825
O6 O 0.190 0.810 0.199
O7 O 0.322 0.322 0.974
O8 O 0.310 0.310 0.699
Os1 Os 0.000 0.000 0.335
O9 O 0.678 0.678 0.974
Os2 Os 0.500 0.500 0.835
Th2 Th 0.000 0.000 0.666
Na2 Na 0.000 0.000 0.005
O10 O 0.259 0.259 0.325
O11 O 0.741 0.741 0.325
O12 O 0.822 0.178 0.474
```

Values from the calculation:
The density of states at the Fermi level is 6.94 states/eV/cell.


Looking at formation energy (no corrections) for the records above, in order, we have -1443 -1505 -1630 -1902 -1789 -1877 -1538 -1737 -1249 -1058 -1143 -1966 meV per atom.